DFT (PBE) results for an optimized crystal structure of Sb2MoCl.

Unit cell a=4.9094 b=4.9094 c=4.9094 alpha=60.00 beta=60.00 gamma=60.00
Closest atoms and distances in Å follow each position.
Atoms (fractional coordinates):
Sb 0.0000 0.0000 0.0000  4 Cl 3.01, 4 Sb 3.01
Sb 0.2500 0.2500 0.2500  4 Mo 3.01, 4 Sb 3.01
Mo 0.5000 0.5000 0.5000  4 Cl 3.01, 4 Sb 3.01
Cl 0.7500 0.7500 0.7500  4 Mo 3.01, 4 Sb 3.01

Results
Final energy ... -4.687 eV/atom

DFT (PBE) results for an optimized crystal structure of CeZr2Sc4.

Unit cell a=3.2657 b=3.2657 c=18.6326 alpha=95.12 beta=95.12 gamma=59.95
Closest atoms and distances in Å follow each position.
Atoms (fractional coordinates):
Ce 0.0000 0.0000 0.0000  6 Ce 3.26-3.27, 6 Sc 3.35-3.44
Zr 0.8159 0.8159 0.4295  6 Sc 3.15-3.21, 6 Zr 3.26-3.27
Zr 0.9090 0.9090 0.7087  6 Sc 3.15-3.19, 6 Zr 3.26-3.27
Sc 0.1014 0.1014 0.2928  3 Zr 3.15-3.16, 9 Sc 3.24-3.27
Sc 0.1943 0.1943 0.5697  6 Zr 3.19-3.21, 6 Sc 3.26-3.27
Sc 0.6188 0.6188 0.8454  3 Zr 3.15-3.17, 6 Sc 3.26-3.27, 3 Ce 3.42-3.44
Sc 0.7213 0.7213 0.1500  9 Sc 3.24-3.27, 3 Ce 3.35-3.36

Results
Formation enthalpy at 0 K ... 2.49 kJ per mole of atoms
Final energy ... -6.882 eV/atom

DFT (PBE) results for an optimized crystal structure of Pm2Mg17.

Unit cell a=7.8071 b=7.8071 c=7.8071 alpha=82.22 beta=82.22 gamma=82.22
Closest atoms and distances in Å follow each position.
Atoms (fractional coordinates):
Pm 0.1703 0.1703 0.1703  16 Mg 3.51-3.87
Pm 0.8297 0.8297 0.8297  16 Mg 3.51-3.87
Mg 0.0000 0.5000 0.5000  10 Mg 2.99-3.14
Mg 0.1468 0.1468 0.6595  8 Mg 2.93-3.20
Mg 0.1468 0.6595 0.1468  8 Mg 2.93-3.20
Mg 0.1989 0.5000 0.8011  8 Mg 2.99-3.20
Mg 0.1989 0.8011 0.5000  8 Mg 2.99-3.20
Mg 0.3405 0.8532 0.8532  8 Mg 2.93-3.20
Mg 0.4008 0.4008 0.4008  7 Mg 3.03-3.29
Mg 0.5000 0.0000 0.5000  10 Mg 2.99-3.14
Mg 0.5000 0.1989 0.8011  8 Mg 2.99-3.20
Mg 0.5000 0.5000 0.0000  10 Mg 2.99-3.14
Mg 0.5000 0.8011 0.1989  8 Mg 2.99-3.20
Mg 0.5992 0.5992 0.5992  7 Mg 3.03-3.29
Mg 0.6595 0.1468 0.1468  8 Mg 2.93-3.20
Mg 0.8011 0.1989 0.5000  8 Mg 2.99-3.20
Mg 0.8011 0.5000 0.1989  8 Mg 2.99-3.20
Mg 0.8532 0.3405 0.8532  8 Mg 2.93-3.20
Mg 0.8532 0.8532 0.3405  8 Mg 2.93-3.20

Results
Formation enthalpy at 0 K ... -4.72 kJ per mole of atoms
Final energy ... -1.976 eV/atom

DFT (PBE) results for an optimized crystal structure of Nd2B2O7.

Unit cell a=5.7664 b=5.7664 c=4.6904 alpha=105.28 beta=105.28 gamma=102.00
Closest atoms and distances in Å follow each position.
Atoms (fractional coordinates):
Nd 0.2160 0.7840 0.0000  6 O 2.33-2.49
Nd 0.7840 0.2160 0.0000  6 O 2.33-2.49
B 0.2190 0.2190 0.6174  3 O 1.38-1.40
B 0.7810 0.7810 0.3826  3 O 1.38-1.40
O 0.0765 0.3477 0.7533  1 B 1.38
O 0.2002 0.2002 0.3071  1 B 1.40
O 0.3477 0.0765 0.7533  1 B 1.38
O 0.5000 0.5000 0.5000  2 O 1.98
O 0.6523 0.9235 0.2467  1 B 1.38
O 0.7998 0.7998 0.6929  1 B 1.40
O 0.9235 0.6523 0.2467  1 B 1.38

Results
Final energy ... -7.722 eV/atom

DFT (PBE) results for an optimized crystal structure of KLi2Tc.

Unit cell a=6.3337 b=6.3337 c=6.3337 alpha=155.60 beta=128.77 gamma=57.53
Closest atoms and distances in Å follow each position.
Atoms (fractional coordinates):
K 0.0000 0.0000 0.0000  2 K 2.68
Li 0.4869 0.4869 0.0000  2 Tc 2.66, 2 Li 2.68
Li 0.7320 0.2320 0.5000  2 Li 2.68
Tc 0.2800 0.7800 0.5000  2 Li 2.66, 2 Tc 2.68

Results
Formation enthalpy at 0 K ... 75.35 kJ per mole of atoms
Final energy ... -3.042 eV/atom

DFT (PBE) results for an optimized crystal structure of YNb2CuF.

Unit cell a=5.0349 b=5.0349 c=3.9165 alpha=90.00 beta=90.00 gamma=90.00
Closest atoms and distances in Å follow each position.
Atoms (fractional coordinates):
Y 0.0000 0.0000 0.0000  8 Nb 3.19, 4 F 3.56
Nb 0.0000 0.5000 0.5000  2 Cu 2.52
Nb 0.5000 0.0000 0.5000  2 Cu 2.52
Cu 0.5000 0.5000 0.5000  2 F 1.96
F 0.5000 0.5000 0.0000  2 Cu 1.96

Results
Final energy ... -5.859 eV/atom

DFT (PBE) results for an optimized crystal structure of LaH3Pt.

Unit cell a=8.3201 b=8.3201 c=8.3201 alpha=151.96 beta=151.96 gamma=40.07
Closest atoms and distances in Å follow each position.
Atoms (fractional coordinates):
La 0.0000 0.0000 0.0000  4 H 2.29
La 0.7500 0.2500 0.5000  8 H 2.32-2.58
H 0.3528 0.3528 0.0000  2 Pt 2.02, 4 H 2.16
H 0.5030 0.1040 0.3989  1 H 0.82
H 0.6472 0.6472 0.0000  2 Pt 2.02, 4 H 2.16
H 0.7051 0.1040 0.6011  1 H 0.82
H 0.8960 0.2949 0.3989  1 H 0.82
H 0.8960 0.4970 0.6011  1 H 0.82
Pt 0.1494 0.6494 0.5000  2 H 2.02
Pt 0.3506 0.8506 0.5000  2 H 2.02

Results
Final energy ... -4.459 eV/atom

DFT (PBE) results for an optimized crystal structure of Sr2HN2.

Unit cell a=7.0521 b=7.0521 c=6.6295 alpha=106.10 beta=106.10 gamma=35.62
Closest atoms and distances in Å follow each position.
Atoms (fractional coordinates):
Sr 0.0478 0.6774 0.8871  4 N 2.42-2.70, 2 H 2.57-2.60
Sr 0.3226 0.9522 0.6129  4 N 2.42-2.70, 2 H 2.57-2.60
Sr 0.6774 0.0478 0.3871  4 N 2.42-2.70, 2 H 2.57-2.60
Sr 0.9522 0.3226 0.1129  4 N 2.42-2.70, 2 H 2.57-2.60
H 0.0903 0.9097 0.2500  4 Sr 2.57-2.60
H 0.9097 0.0903 0.7500  4 Sr 2.57-2.60
N 0.1450 0.4104 0.4840  1 N 1.31
N 0.4104 0.1450 0.9840  1 N 1.31
N 0.5896 0.8550 0.0160  1 N 1.31
N 0.8550 0.5896 0.5160  1 N 1.31

Results
Final energy ... -5.212 eV/atom